#i
A plane-wave DFT calculation with PBE was carried out for an optimized crystal structure of Li3Mg3Zn.

Cell: 8.1317 8.1317 4.7688 Å, 90.00 90.00 120.00°
With the nearest neighbours (Å) after each atom.
Space group P6_3/mmc (No. 194)
Symmetry-distinct sites (fractional):
Li (0.1065, 0.5533, 0.2500) (multiplicity 6)  4 Li 2.77-2.82, 3 Zn 2.87-3.10, 2 Mg 2.94
Mg (0.1378, 0.2756, 0.7500) (multiplicity 6)  1 Zn 2.75, 2 Li 2.94, 4 Mg 3.07
Zn (0.3333, 0.6667, 0.7500) (multiplicity 2)  3 Mg 2.75, 6 Li 2.87

Properties
total magnetization: 0.00 μB/cell

---

#ii
A plane-wave DFT calculation with PBE was carried out for an optimized crystal structure of Li3Mg3Zn.

Cell: 8.0065 8.0065 4.8772 Å, 90.00 90.00 120.00°
With the nearest neighbours (Å) after each atom.
Space group P6_3/m (No. 176)
Symmetry-distinct sites (fractional):
Li (0.0610, 0.8164, 0.2500) (multiplicity 6)  5 Mg 2.90-3.09, 1 Zn 2.97, 6 Li 3.01-3.06
Mg (0.0933, 0.6225, 0.7500) (multiplicity 6)  5 Li 2.90-3.09, 3 Zn 3.01-3.02, 4 Mg 3.02-3.07
Zn (0.3333, 0.6667, 0.2500) (multiplicity 2)  3 Li 2.97, 9 Mg 3.01-3.02

Properties
total magnetization: 0.00 μB/cell

---

The least stable of them is #ii.

---

#i
A plane-wave DFT calculation with PBE was carried out for an optimized crystal structure of Li7Mg3Zn2.

Cell: 3.0727 33.2398 4.7647 Å, 90.00 90.00 90.00°
With the nearest neighbours (Å) after each atom.
Space group Cmmm (No. 65)
Symmetry-distinct sites (fractional):
Li (0.0000, 0.0000, 0.0000) (multiplicity 2)  6 Li 2.82-3.07, 4 Mg 2.83
Li (0.0000, 0.0787, 0.5000) (multiplicity 4)  6 Li 2.85-3.07, 4 Mg 2.98-3.03, 2 Zn 3.11
Li (0.0000, 0.2904, 0.0000) (multiplicity 4)  2 Zn 2.81, 2 Mg 2.98, 4 Li 3.07-3.09
Li (0.0000, 0.4288, 0.0000) (multiplicity 4)  2 Zn 2.72, 6 Li 2.82-2.85
Mg (0.0000, 0.3444, 0.5000) (multiplicity 4)  4 Zn 2.89, 4 Li 2.98, 2 Mg 3.07
Mg (0.0000, 0.5000, 0.5000) (multiplicity 2)  8 Li 2.83-3.03, 2 Mg 3.07
Zn (0.0000, 0.1387, 0.0000) (multiplicity 4)  4 Li 2.72-2.81, 4 Mg 2.89

Properties
total magnetization: 0.00 μB/cell

---

#ii
A plane-wave DFT calculation with PBE was carried out for an optimized crystal structure of Li7Mg3Zn2.

Cell: 4.6576 3.1914 15.3914 Å, 90.00 98.35 90.00°
With the nearest neighbours (Å) after each atom.
Space group P2/m (No. 10)
Symmetry-distinct sites (fractional):
Li (0.0000, 0.0000, 0.0000) (multiplicity 1)  4 Mg 2.82, 4 Li 3.13
Li (0.0875, 0.5000, 0.1767) (multiplicity 2)  6 Li 2.84-3.13, 2 Zn 2.90-2.91, 2 Mg 3.11
Li (0.2694, 0.5000, 0.5393) (multiplicity 2)  1 Zn 2.59, 2 Li 2.61-2.62
Li (0.4234, 0.0000, 0.8438) (multiplicity 2)  2 Zn 2.59, 4 Li 2.84, 2 Mg 2.86
Mg (0.1751, 0.0000, 0.3523) (multiplicity 2)  4 Zn 2.97-2.98, 8 Li 3.11-3.28, 2 Mg 3.19
Mg (0.5000, 0.5000, 0.0000) (multiplicity 1)  8 Li 2.82-2.86
Zn (0.3561, 0.5000, 0.7094) (multiplicity 2)  4 Li 2.59-2.90

Properties
total magnetization: 0.00 μB/cell

---

The least stable of them is #i.

---

#i
A plane-wave DFT calculation with PBE was carried out for an optimized crystal structure of LiMg14Zr.

Cell: 6.4073 6.4073 10.1547 Å, 90.00 90.00 120.00°
With the nearest neighbours (Å) after each atom.
Space group P-6m2 (No. 187)
Symmetry-distinct sites (fractional):
Li (0.0000, 0.0000, 0.0000) (multiplicity 1)  12 Mg 3.12-3.20
Mg (0.0074, 0.5037, 0.5000) (multiplicity 3)  10 Mg 3.11-3.27, 2 Zr 3.20
Mg (0.1629, 0.3258, 0.2507) (multiplicity 6)  1 Zr 3.11, 1 Li 3.12, 10 Mg 3.13-3.28
Mg (0.5003, 0.0005, 0.0000) (multiplicity 3)  10 Mg 3.16-3.21, 2 Li 3.20
Mg (0.6667, 0.3333, 0.2565) (multiplicity 2)  12 Mg 3.11-3.20
Zr (0.0000, 0.0000, 0.5000) (multiplicity 1)  12 Mg 3.11-3.20

Properties
total magnetization: 0.00 μB/cell

---

#ii
A plane-wave DFT calculation with PBE was carried out for an optimized crystal structure of LiMg14Zr.

Cell: 10.1742 6.4382 11.0340 Å, 90.00 90.00 90.00°
With the nearest neighbours (Å) after each atom.
Space group Amm2 (No. 38)
Symmetry-distinct sites (fractional):
Li (0.0000, 0.0000, 0.0000) (multiplicity 2)  10 Mg 3.04-3.29, 2 Zr 3.22
Mg (0.0000, 0.2414, 0.2424) (multiplicity 4)  8 Mg 3.08-3.33, 2 Li 3.09-3.29, 2 Zr 3.19-3.20
Mg (0.2362, 0.0000, 0.8310) (multiplicity 4)  1 Li 3.04, 11 Mg 3.08-3.26
Mg (0.2443, 0.2488, 0.5772) (multiplicity 8)  10 Mg 3.08-3.24, 1 Li 3.09, 1 Zr 3.09
Mg (0.2468, 0.0000, 0.3319) (multiplicity 4)  1 Zr 3.10, 11 Mg 3.11-3.24
Mg (0.5000, 0.0000, 0.4972) (multiplicity 2)  12 Mg 3.16-3.22
Mg (0.5000, 0.0000, 0.9959) (multiplicity 2)  12 Mg 3.18-3.24
Mg (0.5000, 0.2483, 0.7469) (multiplicity 4)  12 Mg 3.18-3.26
Zr (0.0000, 0.0000, 0.4961) (multiplicity 2)  10 Mg 3.09-3.20, 2 Li 3.22

Properties
total magnetization: 0.00 μB/cell

---

The least stable of them is #ii.

---

#i
A plane-wave DFT calculation with PBE was carried out for an optimized crystal structure of LiMgZr.

Cell: 3.1288 3.1288 13.1680 Å, 90.00 90.00 90.00°
With the nearest neighbours (Å) after each atom.
Space group P4/nmm (No. 129, origin choice 2)
Symmetry-distinct sites (fractional):
Li (0.2500, 0.2500, 0.0712) (multiplicity 2)  8 Li 2.90-3.13, 4 Mg 3.03
Mg (0.2500, 0.2500, 0.7715) (multiplicity 2)  4 Li 3.03, 4 Mg 3.13, 4 Zr 3.31
Zr (0.2500, 0.2500, 0.4154) (multiplicity 2)  8 Zr 3.13-3.14, 4 Mg 3.31

Properties
total magnetization: 0.00 μB/cell

---

#ii
A plane-wave DFT calculation with PBE was carried out for an optimized crystal structure of LiMgZr.

Cell: 3.0303 3.0303 8.1372 Å, 90.00 90.00 120.00°
With the nearest neighbours (Å) after each atom.
Space group P3m1 (No. 156)
Symmetry-distinct sites (fractional):
Li (0.0000, 0.0000, 0.0000) (multiplicity 1)  6 Li 3.03, 3 Mg 3.17, 3 Zr 3.28
Mg (0.6667, 0.3333, 0.3246) (multiplicity 1)  6 Mg 3.03, 3 Li 3.17, 3 Zr 3.24
Zr (0.3333, 0.6667, 0.6596) (multiplicity 1)  6 Zr 3.03, 3 Mg 3.24, 3 Li 3.28

Properties
total magnetization: 0.00 μB/cell

---

#iii
A plane-wave DFT calculation with PBE was carried out for an optimized crystal structure of LiMgZr.

Cell: 6.4215 6.4215 6.4215 Å, 90.00 90.00 90.00°
With the nearest neighbours (Å) after each atom.
Space group F-43m (No. 216)
Symmetry-distinct sites (fractional):
Li (0.0000, 0.0000, 0.0000) (multiplicity 4)  4 Mg 2.78, 4 Zr 2.78
Mg (0.2500, 0.2500, 0.2500) (multiplicity 4)  4 Li 2.78
Zr (0.2500, 0.2500, 0.7500) (multiplicity 4)  4 Li 2.78

Properties
total magnetization: 1.35 μB/cell

---

#iv
A plane-wave DFT calculation with PBE was carried out for an optimized crystal structure of LiMgZr.

Cell: 3.0379 3.0379 13.5113 Å, 90.00 90.00 90.00°
With the nearest neighbours (Å) after each atom.
Space group I4mm (No. 107)
Symmetry-distinct sites (fractional):
Li (0.0000, 0.0000, 0.0000) (multiplicity 2)  4 Mg 3.01, 4 Li 3.04, 4 Zr 3.16
Mg (0.0000, 0.0000, 0.6556) (multiplicity 2)  4 Li 3.01, 4 Mg 3.04, 4 Zr 3.17
Zr (0.0000, 0.0000, 0.3283) (multiplicity 2)  4 Zr 3.04, 4 Li 3.16, 4 Mg 3.17

Properties
total magnetization: 0.00 μB/cell

---

The least stable of them is #iii.

---

#i
A plane-wave DFT calculation with PBE was carried out for an optimized crystal structure of LiMgZr.

Cell: 6.6645 6.6645 6.6645 Å, 90.00 90.00 90.00°
With the nearest neighbours (Å) after each atom.
Space group F-43m (No. 216)
Symmetry-distinct sites (fractional):
Li (0.0000, 0.0000, 0.0000) (multiplicity 4)  4 Mg 2.89
Mg (0.2500, 0.2500, 0.2500) (multiplicity 4)  4 Zr 2.89, 4 Li 2.89
Zr (0.0000, 0.0000, 0.5000) (multiplicity 4)  4 Mg 2.89

Properties
total magnetization: 1.54 μB/cell

---

#ii
A plane-wave DFT calculation with PBE was carried out for an optimized crystal structure of LiMgZr.

Cell: 2.8698 4.8100 9.1785 Å, 90.00 90.00 90.00°
With the nearest neighbours (Å) after each atom.
Space group Imm2 (No. 44)
Symmetry-distinct sites (fractional):
Li (0.0000, 0.0000, 0.0000) (multiplicity 2)  2 Li 2.87, 5 Zr 3.03-3.21, 5 Mg 3.06-3.19
Mg (0.0000, 0.0000, 0.3331) (multiplicity 2)  2 Mg 2.87, 5 Li 3.06-3.19, 5 Zr 3.10-3.17
Zr (0.0000, 0.0000, 0.6703) (multiplicity 2)  2 Zr 2.87, 5 Li 3.03-3.21, 5 Mg 3.10-3.17

Properties
total magnetization: 0.00 μB/cell

---

#iii
A plane-wave DFT calculation with PBE was carried out for an optimized crystal structure of LiMgZr.

Cell: 3.2181 4.9809 16.1576 Å, 90.00 90.00 90.00°
With the nearest neighbours (Å) after each atom.
Space group Fmm2 (No. 42)
Symmetry-distinct sites (fractional):
Li (0.0000, 0.0000, 0.0000) (multiplicity 4)  6 Li 2.97-3.22, 2 Mg 3.08, 2 Zr 3.17
Mg (0.0000, 0.0000, 0.3376) (multiplicity 4)  6 Mg 2.97-3.22, 2 Li 3.08, 2 Zr 3.17
Zr (0.0000, 0.0000, 0.6687) (multiplicity 4)  6 Zr 2.97-3.22, 2 Li 3.17, 2 Mg 3.17

Properties
total magnetization: 0.00 μB/cell

---

The least stable of them is #i.